# 1
Crystalline KCa2TmBr8 at its relaxed geometry. Source: Alexandria, functional GGA-PBE.

Unit cell a=7.0124 b=6.6645 c=9.0376 alpha=89.99 beta=89.99 gamma=89.56
With the nearest neighbours (Å) after each atom.
Fractional coordinates of all 12 atoms:
Br 0.8361 0.2377 0.7843  1 Tm 2.76, 1 Ca 2.94
Br 0.1639 0.7623 0.2157  1 Tm 2.76, 1 Ca 2.94
Br 0.1641 0.7625 0.7844  1 Tm 2.76, 1 Ca 2.94
Br 0.6746 0.7435 0.0000  1 Tm 2.86, 2 Ca 3.04
Br 0.3713 0.2687 0.5001  2 Ca 2.88, 1 K 3.17
Br 0.6287 0.7313 0.4999  2 Ca 2.88, 1 K 3.17
Br 0.8359 0.2375 0.2156  1 Tm 2.76, 1 Ca 2.94
Br 0.3254 0.2565 0.0000  1 Tm 2.86, 2 Ca 3.04
Tm 0.0000 0.0000 0.0000  6 Br 2.76-2.86
Ca 0.5000 0.5000 0.2499  6 Br 2.88-3.04
Ca 0.5000 0.5000 0.7501  6 Br 2.88-3.04
K 0.0000 0.0000 0.5000  6 Br 3.17-3.23

**Calculated total energy**: -45.739 eV/cell
**E_form (uncorrected)**: -1.899 eV per atom
**Crystal system**: monoclinic

---

# 2
Crystalline KCaTmBr6 at its relaxed geometry. Source: Alexandria, functional GGA-PBE.

Unit cell a=7.4115 b=7.4115 c=14.3396 alpha=90.00 beta=90.00 gamma=120.00
With the nearest neighbours (Å) after each atom.
Fractional coordinates of all 18 atoms:
Br 0.9861 0.3619 0.1377  1 Tm 2.78, 1 Ca 2.92
Br 0.0139 0.6381 0.8623  1 Tm 2.78, 1 Ca 2.92
Br 0.3759 0.0139 0.1377  1 Tm 2.78, 1 Ca 2.92
Br 0.9861 0.6241 0.3623  1 Tm 2.78, 1 Ca 2.92
Br 0.6241 0.6381 0.6377  1 Tm 2.78, 1 Ca 2.92
Br 0.6381 0.6241 0.1377  1 Tm 2.78, 1 Ca 2.92
Br 0.3619 0.3759 0.8623  1 Tm 2.78, 1 Ca 2.92
Br 0.6381 0.0139 0.3623  1 Tm 2.78, 1 Ca 2.92
Br 0.3759 0.3619 0.3623  1 Tm 2.78, 1 Ca 2.92
Br 0.6241 0.9861 0.8623  1 Tm 2.78, 1 Ca 2.92
Br 0.0139 0.3759 0.6377  1 Tm 2.78, 1 Ca 2.92
Br 0.3619 0.9861 0.6377  1 Tm 2.78, 1 Ca 2.92
Ca 0.6667 0.3333 0.7500  6 Br 2.92
Ca 0.3333 0.6667 0.2500  6 Br 2.92
Tm 0.6667 0.3333 0.2500  6 Br 2.78
Tm 0.3333 0.6667 0.7500  6 Br 2.78
K 0.0000 0.0000 0.5000  6 Br 3.37
K 0.0000 0.0000 0.0000  6 Br 3.37

**Calculated total energy**: -69.840 eV/cell
**E_form (uncorrected)**: -1.924 eV per atom
**Crystal system**: trigonal

---

# 3
Crystalline KCa2VBr8 at its relaxed geometry. Source: Alexandria, functional GGA-PBE.

Unit cell a=6.8286 b=6.4944 c=8.9075 alpha=89.98 beta=89.99 gamma=89.10
With the nearest neighbours (Å) after each atom.
Fractional coordinates of all 12 atoms:
Br 0.8462 0.2291 0.7988  1 V 2.55
Br 0.1538 0.7709 0.2012  1 V 2.55
Br 0.3140 0.2395 0.0001  1 V 2.67
Br 0.1541 0.7711 0.7989  1 V 2.54
Br 0.3691 0.2693 0.5001  2 Ca 2.87, 1 K 3.09
Br 0.8459 0.2289 0.2011  1 V 2.54
Br 0.6309 0.7307 0.4999  2 Ca 2.87, 1 K 3.09
Br 0.6860 0.7605 0.9999  1 V 2.67
Ca 0.5000 0.4999 0.7543  6 Br 2.87-3.06
Ca 0.5000 0.5001 0.2457  6 Br 2.87-3.06
K 0.0000 0.0000 0.5000  6 Br 3.09-3.22
V 0.0000 0.0000 0.0000  6 Br 2.54-2.67

**Calculated total energy**: -45.799 eV/cell
**E_form (uncorrected)**: -1.516 eV per atom
**Crystal system**: monoclinic

---

# 4
Crystalline KCaVBr6 at its relaxed geometry. Source: Alexandria, functional GGA-PBE.

Unit cell a=7.1660 b=7.1660 c=14.3109 alpha=90.00 beta=90.00 gamma=120.00
With the nearest neighbours (Å) after each atom.
Fractional coordinates of all 18 atoms:
Br 0.9645 0.3497 0.1442  1 V 2.57
Br 0.3852 0.3497 0.3558  1 V 2.57
Br 0.6503 0.6147 0.1442  1 V 2.57
Br 0.3497 0.9645 0.6442  1 V 2.57
Br 0.3497 0.3853 0.8558  1 V 2.57
Br 0.6148 0.6503 0.6442  1 V 2.57
Br 0.9645 0.6147 0.3558  1 V 2.57
Br 0.6503 0.0355 0.3558  1 V 2.57
Br 0.6148 0.9645 0.8558  1 V 2.57
Br 0.0355 0.3853 0.6442  1 V 2.57
Br 0.3852 0.0355 0.1442  1 V 2.57
Br 0.0355 0.6503 0.8558  1 V 2.57
K 0.0000 0.0000 0.0000  6 Br 3.35
K 0.0000 0.0000 0.5000  6 Br 3.35
V 0.3333 0.6667 0.7500  6 Br 2.57
V 0.6667 0.3333 0.2500  6 Br 2.57
Ca 0.6667 0.3333 0.7500  6 Br 2.90
Ca 0.3333 0.6667 0.2500  6 Br 2.90

**Calculated total energy**: -70.350 eV/cell
**E_form (uncorrected)**: -1.436 eV per atom
**Crystal system**: trigonal

---

# 5
Crystalline KCa2WBr at its relaxed geometry. Source: Alexandria, functional GGA-PBE.

Unit cell a=6.2410 b=6.2410 c=5.1142 alpha=90.00 beta=90.00 gamma=90.00
With the nearest neighbours (Å) after each atom.
Fractional coordinates of all 5 atoms:
W 0.0000 0.0000 0.5000  2 K 2.56
K 0.0000 0.0000 0.0000  2 W 2.56
Br 0.5000 0.5000 0.5000  8 Ca 4.03, 4 W 4.41
Ca 0.0000 0.5000 0.0000  2 K 3.12
Ca 0.5000 0.0000 0.0000  2 K 3.12

**Calculated total energy**: -11.314 eV/cell
**E_form (uncorrected)**: 1.682 eV per atom
**Crystal system**: tetragonal

---

# 6
Crystalline KCa2YBr8 at its relaxed geometry. Source: Alexandria, functional GGA-PBE.

Unit cell a=7.0524 b=6.6952 c=9.0479 alpha=89.98 beta=89.99 gamma=89.56
With the nearest neighbours (Å) after each atom.
Fractional coordinates of all 12 atoms:
Ca 0.5000 0.5000 0.7491  6 Br 2.89-3.04
Ca 0.5000 0.5000 0.2509  6 Br 2.89-3.04
Y 0.0000 0.0000 0.0000  6 Br 2.80-2.90
Br 0.1648 0.7595 0.7817  1 Y 2.80, 1 Ca 2.94
Br 0.8354 0.2407 0.7816  1 Y 2.80, 1 Ca 2.94
Br 0.6712 0.7415 0.0000  1 Y 2.90, 2 Ca 3.04
Br 0.1646 0.7593 0.2184  1 Y 2.80, 1 Ca 2.94
Br 0.6304 0.7305 0.4999  2 Ca 2.89, 1 K 3.18
Br 0.8352 0.2405 0.2183  1 Y 2.80, 1 Ca 2.94
Br 0.3288 0.2585 0.0000  1 Y 2.90, 2 Ca 3.04
Br 0.3696 0.2695 0.5001  2 Ca 2.89, 1 K 3.18
K 0.0000 0.0000 0.5000  6 Br 3.18-3.23

**Calculated total energy**: -47.820 eV/cell
**E_form (uncorrected)**: -1.906 eV per atom
**Crystal system**: monoclinic